Entry 1:
First-principles (PBE-GGA) data for an optimized crystal structure of La2Zn15Co2, as listed in Alexandria.

Cell lengths 6.828, 6.828, 6.828 Å; angles 82.80, 82.80, 82.80 degrees
Fractional coordinates of all 19 atoms:
La 0.163 0.163 0.163
La 0.837 0.837 0.837
Zn 0.000 0.500 0.500
Zn 0.154 0.154 0.650
Zn 0.154 0.650 0.154
Zn 0.220 0.500 0.780
Zn 0.220 0.780 0.500
Zn 0.350 0.846 0.846
Zn 0.500 0.000 0.500
Zn 0.500 0.220 0.780
Zn 0.500 0.500 0.000
Zn 0.500 0.780 0.220
Zn 0.650 0.154 0.154
Zn 0.780 0.220 0.500
Zn 0.780 0.500 0.220
Zn 0.846 0.350 0.846
Zn 0.846 0.846 0.350
Co 0.408 0.408 0.408
Co 0.592 0.592 0.592

Computed properties:
total energy = -46.9 eV per cell
volume = 16.39 Å³/atom
DFT formation energy = -0.20 eV per atom
calculated density = 7.34 g cm⁻³
DOS at the Fermi energy = 10.1 states/eV/f.u.


Entry 2:
First-principles (PBE-GGA) data for an optimized crystal structure of La3Zn2Co4, as listed in Alexandria.

Cell lengths 5.525, 5.525, 8.105 Å; angles 96.10, 96.10, 45.11 degrees
Fractional coordinates of all 9 atoms:
La 0.000 0.000 0.000
La 0.366 0.366 0.629
La 0.634 0.634 0.371
Zn 0.333 0.333 0.221
Zn 0.667 0.667 0.779
Co 0.074 0.074 0.627
Co 0.240 0.240 0.923
Co 0.760 0.760 0.077
Co 0.926 0.926 0.373

Computed properties:
total energy = -47.2 eV per cell
volume = 19.35 Å³/atom
DFT formation energy = -0.16 eV per atom
calculated density = 7.47 g cm⁻³
DOS at the Fermi energy = 10.2 states/eV/f.u.


Q: What is the formula in the first record?
A: La2Zn15Co2